16
Lattice="6.1045 0.0000 0.0000 0.0000 6.1045 0.0000 0.0000 0.0000 11.2766" Properties=species:S:1:pos:R:3 comment="PBE-GGA TaFeTe2, optimized geometry" space_group="I-42d (122)" mass_density_g_cm3=7.8 raw_formation_energy_ev_per_atom=0.620 dos_ef_per_ev_atom=1.12 pbc="T T T"
Ta 0.0000 0.0000 0.0000
Ta 0.0000 3.0522 2.8191
Ta 3.0522 0.0000 8.4574
Ta 3.0522 3.0522 5.6383
Fe 0.0000 0.0000 5.6383
Fe 0.0000 3.0522 8.4574
Fe 3.0522 0.0000 2.8191
Fe 3.0522 3.0522 0.0000
Te 1.3081 1.5261 7.0479
Te 1.5261 4.3603 9.8670
Te 1.5261 4.7964 4.2287
Te 1.7441 1.5261 1.4096
Te 4.3603 4.5783 1.4096
Te 4.5783 1.3081 4.2287
Te 4.5783 1.7441 9.8670
Te 4.7964 4.5783 7.0479

4
Lattice="4.8131 0.0000 0.0000 0.0000 4.8131 0.0000 0.0000 0.0000 3.7328" Properties=species:S:1:pos:R:3 comment="PBE-GGA ErInAu2, optimized geometry" formation_enthalpy_0k_kj_per_mol_atoms=-55.8 space_group="P4/mmm (123)" mass_density_g_cm3=13.0 dos_ef_per_ev_atom=0.54 pbc="T T T"
Er 0.0000 0.0000 0.0000
In 2.4066 2.4066 0.0000
Au 0.0000 2.4066 1.8664
Au 2.4066 0.0000 1.8664

6
Lattice="0.0000 3.7739 3.7739 3.7739 0.0000 3.7739 3.7739 3.7739 0.0000" Properties=species:S:1:pos:R:3 comment="PBE-GGA PmZrOs4, optimized geometry" formation_enthalpy_0k_kj_per_mol_atoms=-17.8 space_group="F-43m (216)" mass_density_g_cm3=15.4 dos_ef_per_ev_atom=0.97 pbc="T T T"
Pm 0.0000 0.0000 0.0000
Zr 1.8869 1.8869 1.8869
Os 4.7147 2.8331 2.8331
Os 2.8331 4.7147 2.8331
Os 2.8331 2.8331 4.7147
Os 4.7147 4.7147 4.7147

10
Lattice="4.4940 0.0000 0.0000 0.0000 4.4940 0.0000 0.0000 0.0000 11.0766" Properties=species:S:1:pos:R:3 comment="PBE-GGA Cd2Si2Sn, optimized geometry" e_above_lowest_polymorph_mev_per_atom=63 space_group="I4/mmm (139)" mass_density_g_cm3=5.9 raw_formation_energy_ev_per_atom=0.316 dos_ef_per_ev_atom=0.35 pbc="T T T"
Cd 0.0000 2.2470 2.7692
Cd 0.0000 2.2470 8.3075
Cd 2.2470 0.0000 2.7692
Cd 2.2470 0.0000 8.3075
Si 0.0000 0.0000 1.1585
Si 0.0000 0.0000 9.9181
Si 2.2470 2.2470 4.3798
Si 2.2470 2.2470 6.6968
Sn 0.0000 0.0000 5.5383
Sn 2.2470 2.2470 0.0000

32
Lattice="7.4454 0.0000 0.0000 0.0000 8.3781 0.0000 0.0000 0.0000 5.8039" Properties=species:S:1:pos:R:3 comment="PBE-GGA CaGe2O5, optimized geometry" space_group="Pbam (55)" mass_density_g_cm3=4.9 raw_formation_energy_ev_per_atom=-2.072 dos_ef_per_ev_atom=0.00 pbc="T T T"
Ca 1.0174 1.3915 0.0000
Ca 2.7054 5.5806 0.0000
Ca 4.7401 2.7976 0.0000
Ca 6.4281 6.9866 0.0000
Ge 0.0000 4.1891 1.4307
Ge 0.0000 4.1891 4.3731
Ge 0.8115 7.1555 2.9019
Ge 2.9112 2.9664 2.9019
Ge 3.7227 0.0000 1.4307
Ge 3.7227 0.0000 4.3731
Ge 4.5342 5.4117 2.9019
Ge 6.6339 1.2227 2.9019
O 0.0000 0.0000 1.6904
O 0.0000 0.0000 4.1135
O 0.7858 5.9322 1.5007
O 0.7858 5.9322 4.3032
O 1.1647 3.5763 2.9019
O 1.1701 3.7264 0.0000
O 2.5526 7.9154 0.0000
O 2.5580 7.7653 2.9019
O 2.9369 1.7432 1.5007
O 2.9369 1.7432 4.3032
O 3.7227 4.1891 1.6904
O 3.7227 4.1891 4.1135
O 4.5085 6.6350 1.5007
O 4.5085 6.6350 4.3032
O 4.8874 0.6128 2.9019
O 4.8928 0.4627 0.0000
O 6.2754 4.6518 0.0000
O 6.2807 4.8019 2.9019
O 6.6596 2.4459 1.5007
O 6.6596 2.4459 4.3032

20
Lattice="6.2864 -5.7037 0.0000 6.2864 5.7037 0.0000 -3.0913 0.0000 10.2416" Properties=species:S:1:pos:R:3 comment="PBE-GGA CaLa2Pr6Tm, optimized geometry" formation_enthalpy_0k_kj_per_mol_atoms=18.7 space_group="C2/c (15)" mass_density_g_cm3=6.0 dos_ef_per_ev_atom=1.55 pbc="T T T"
Ca 3.9679 5.2876 7.6812
Ca 5.5135 -5.2876 2.5604
La 2.4559 0.4040 3.7251
La 0.9102 -0.4040 8.8459
La 8.5712 0.4040 1.3957
La 7.0256 -0.4040 6.5166
Pr 0.4720 1.9354 6.5017
Pr 2.1596 1.7024 0.5331
Pr 0.6140 -1.7024 5.6540
Pr 4.2943 1.6237 6.0965
Pr 2.0177 -1.9354 1.3809
Pr 3.6415 1.6237 9.2660
Pr 5.8400 -1.6237 0.9756
Pr 7.4638 1.9354 8.8607
Pr 5.1871 -1.6237 4.1452
Pr 8.8675 1.7024 4.5877
Pr 7.3218 -1.7024 9.7085
Pr 9.0094 -1.9354 3.7399
Tm 5.5135 1.7463 2.5604
Tm 3.9679 -1.7463 7.6812

5
Lattice="4.1679 0.0000 0.0000 0.0000 4.1679 0.0000 0.0000 0.0000 4.2614" Properties=species:S:1:pos:R:3 comment="PBE-GGA TlHPd2Au, optimized geometry" e_above_lowest_polymorph_mev_per_atom=0 space_group="P4/mmm (123)" mass_density_g_cm3=13.8 dos_ef_per_ev_atom=0.33 pbc="T T T"
Tl 0.0000 0.0000 0.0000
H 2.0840 2.0840 2.1307
Pd 0.0000 2.0840 2.1307
Pd 2.0840 0.0000 2.1307
Au 2.0840 2.0840 0.0000

5
Lattice="5.3663 0.0000 0.0000 0.0000 5.3663 0.0000 0.0000 0.0000 6.1697" Properties=species:S:1:pos:R:3 comment="PBE-GGA KNa2HgS, optimized geometry" space_group="P4/mmm (123)" mass_density_g_cm3=3.0 raw_formation_energy_ev_per_atom=-0.579 dos_ef_per_ev_atom=0.63 pbc="T T T"
K 0.0000 0.0000 0.0000
Na 0.0000 2.6831 3.0849
Na 2.6831 0.0000 3.0849
Hg 2.6831 2.6831 0.0000
S 0.0000 0.0000 3.0849

10
Lattice="5.5058 0.0000 0.0000 -1.9255 6.1401 0.0000 -1.2859 -3.0332 6.0899" Properties=species:S:1:pos:R:3 comment="PBE-GGA Na2LiZnAu6, optimized geometry" formation_enthalpy_0k_kj_per_mol_atoms=-26.0 space_group="P-1 (2)" mass_density_g_cm3=10.5 dos_ef_per_ev_atom=0.34 pbc="T T T"
Na -0.5710 -0.2249 1.7986
Na 2.8654 3.3318 4.2914
Li 1.7901 3.0701 0.0000
Zn 2.1099 -1.5166 3.0450
Au -1.2572 2.9497 1.5128
Au 0.1805 5.0368 0.4690
Au 0.1268 1.9251 3.9075
Au 2.1675 1.1818 2.1824
Au 2.1138 -1.9299 5.6209
Au 3.5515 0.1572 4.5771

16
Lattice="4.1318 0.0000 0.0000 0.0000 4.1318 0.0000 0.0000 0.0000 19.0297" Properties=species:S:1:pos:R:3 comment="PBE-GGA CaTc2Se, optimized geometry" space_group="I-42d (122)" mass_density_g_cm3=6.4 raw_formation_energy_ev_per_atom=0.176 dos_ef_per_ev_atom=0.51 pbc="T T T"
Ca 0.0000 0.0000 0.0000
Ca 0.0000 2.0659 4.7574
Ca 2.0659 0.0000 14.2722
Ca 2.0659 2.0659 9.5148
Tc 0.5928 1.0329 11.8935
Tc 1.0329 2.6587 16.6509
Tc 1.0329 3.5390 7.1361
Tc 1.4731 1.0329 2.3787
Tc 2.6587 3.0988 2.3787
Tc 3.0988 0.5928 7.1361
Tc 3.0988 1.4731 16.6509
Tc 3.5390 3.0988 11.8935
Se 0.0000 0.0000 9.5148
Se 0.0000 2.0659 14.2722
Se 2.0659 0.0000 4.7574
Se 2.0659 2.0659 0.0000

26
Lattice="5.0915 0.0000 0.0000 0.0000 6.2689 0.0000 -0.2347 0.0000 8.5624" Properties=species:S:1:pos:R:3 comment="PBE-GGA Li3CuPCO7, optimized geometry" space_group="P2_1 (4)" mass_density_g_cm3=2.9 raw_formation_energy_ev_per_atom=-1.826 dos_ef_per_ev_atom=0.11 pbc="T T T"
Li 0.2401 0.0000 0.0281
Li 1.9421 4.3179 6.8779
Li 2.1509 5.4228 3.9234
Li 2.7060 2.2883 4.6389
Li 2.9148 1.1835 1.6844
Li 4.6167 3.1345 8.5343
Cu 0.0429 1.3967 6.1984
Cu 4.8140 4.5312 2.3640
P 0.1419 1.3934 2.9622
P 4.7149 4.5278 5.6002
C 2.3142 4.4419 0.9762
C 2.5426 1.3074 7.5862
O 0.0292 5.7363 6.5066
O 0.1752 3.3400 6.4771
O 0.4102 4.6134 4.2748
O 1.0357 4.5388 0.6958
O 1.6590 1.2423 3.2163
O 1.7147 1.1048 8.5505
O 2.1530 1.4298 6.3588
O 2.7038 4.5643 2.2036
O 3.1421 4.2393 0.0119
O 3.1979 4.3768 5.3461
O 3.8211 1.4043 7.8666
O 4.4466 1.4789 4.2876
O 4.6816 0.2055 2.0853
O 4.8277 2.6018 2.0558

16
Lattice="6.4286 0.0000 0.0000 0.0000 6.4286 0.0000 0.0000 0.0000 10.5469" Properties=species:S:1:pos:R:3 comment="PBE-GGA Al2TeAs, optimized geometry" e_above_lowest_polymorph_mev_per_atom=81 space_group="I-42d (122)" mass_density_g_cm3=3.9 raw_formation_energy_ev_per_atom=-0.168 dos_ef_per_ev_atom=0.57 pbc="T T T"
Al 1.3772 1.6072 1.3184
Al 1.6072 4.5915 3.9551
Al 1.6072 5.0515 9.2285
Al 1.8372 1.6072 6.5918
Al 4.5915 4.8215 6.5918
Al 4.8215 1.3772 9.2285
Al 4.8215 1.8372 3.9551
Al 5.0515 4.8215 1.3184
Te 0.0000 0.0000 5.2735
Te 0.0000 3.2143 7.9102
Te 3.2143 0.0000 2.6367
Te 3.2143 3.2143 0.0000
As 0.0000 0.0000 0.0000
As 0.0000 3.2143 2.6367
As 3.2143 0.0000 7.9102
As 3.2143 3.2143 5.2735

16
Lattice="5.7232 0.0000 0.0000 0.0000 5.7232 0.0000 0.0000 0.0000 7.8832" Properties=species:S:1:pos:R:3 comment="PBE-GGA ErSnPd14, optimized geometry" formation_enthalpy_0k_kj_per_mol_atoms=-32.2 space_group="P4/mmm (123)" mass_density_g_cm3=11.4 dos_ef_per_ev_atom=1.62 pbc="T T T"
Er 0.0000 0.0000 0.0000
Sn 2.8616 2.8616 0.0000
Pd 0.0000 0.0000 3.9416
Pd 0.0000 2.8616 0.0000
Pd 0.0000 2.8616 3.9416
Pd 1.4405 1.4405 2.0012
Pd 1.4405 1.4405 5.8819
Pd 1.4405 4.2827 2.0012
Pd 1.4405 4.2827 5.8819
Pd 2.8616 0.0000 0.0000
Pd 2.8616 0.0000 3.9416
Pd 2.8616 2.8616 3.9416
Pd 4.2827 1.4405 2.0012
Pd 4.2827 1.4405 5.8819
Pd 4.2827 4.2827 2.0012
Pd 4.2827 4.2827 5.8819

4
Lattice="4.6973 0.0000 0.0000 0.0000 4.6973 0.0000 0.0000 0.0000 4.7002" Properties=species:S:1:pos:R:3 comment="PBE-GGA DyTm2Zn, optimized geometry" e_above_lowest_polymorph_mev_per_atom=137 formation_enthalpy_0k_kj_per_mol_atoms=-2.7 space_group="P4/mmm (123)" mass_density_g_cm3=9.1 dos_ef_per_ev_atom=1.38 pbc="T T T"
Dy 0.0000 0.0000 0.0000
Tm 0.0000 2.3487 2.3501
Tm 2.3487 0.0000 2.3501
Zn 2.3487 2.3487 0.0000

6
Lattice="4.3250 0.0000 0.0000 -2.1625 3.7456 0.0000 0.0000 0.0000 5.2392" Properties=species:S:1:pos:R:3 comment="PBE-GGA ScAgC, optimized geometry" formation_enthalpy_0k_kj_per_mol_atoms=41.1 space_group="P6_3/mmc (194)" mass_density_g_cm3=6.4 dos_ef_per_ev_atom=0.02 pbc="T T T"
Sc 0.0000 2.4971 1.3098
Sc 2.1625 1.2485 3.9294
Ag 0.0000 0.0000 0.0000
Ag 0.0000 0.0000 2.6196
C 0.0000 2.4971 3.9294
C 2.1625 1.2485 1.3098

4
Lattice="3.9096 0.0000 0.0000 0.0000 3.9096 0.0000 0.0000 0.0000 5.5090" Properties=species:S:1:pos:R:3 comment="PBE-GGA AgSnS2, optimized geometry" space_group="P4/mmm (123)" mass_density_g_cm3=5.7 raw_formation_energy_ev_per_atom=-0.195 dos_ef_per_ev_atom=0.57 pbc="T T T"
Ag 0.0000 0.0000 0.0000
Sn 1.9548 1.9548 2.7545
S 0.0000 0.0000 2.7545
S 1.9548 1.9548 0.0000

6
Lattice="3.3432 0.0000 0.0000 0.0000 3.3432 0.0000 0.0000 0.0000 12.3101" Properties=species:S:1:pos:R:3 comment="PBE-GGA LaSnOs, optimized geometry" formation_enthalpy_0k_kj_per_mol_atoms=-6.5 space_group="P4/mmm (123)" mass_density_g_cm3=10.8 dos_ef_per_ev_atom=0.63 pbc="T T T"
La 0.0000 0.0000 1.8484
La 0.0000 0.0000 10.4618
Sn 1.6716 1.6716 4.5337
Sn 1.6716 1.6716 7.7764
Os 0.0000 0.0000 6.1551
Os 1.6716 1.6716 0.0000

4
Lattice="3.0788 0.0000 0.0000 0.0000 3.8273 0.0000 -1.5110 0.0000 6.7163" Properties=species:S:1:pos:R:3 comment="PBE-GGA MnSbAu2, optimized geometry" space_group="Pm (6)" mass_density_g_cm3=12.0 raw_formation_energy_ev_per_atom=0.063 dos_ef_per_ev_atom=0.46 pbc="T T T"
Mn 0.0000 0.0000 0.0000
Sb 1.5528 1.9137 1.6534
Au 0.0231 1.9137 5.3580
Au 1.5640 0.0000 3.8224

20
Lattice="11.0711 0.0000 0.0000 0.0000 4.4320 0.0000 -5.2085 0.0000 12.6415" Properties=species:S:1:pos:R:3 comment="PBE-GGA Pm6SiSn3, optimized geometry" space_group="P2_1/m (11)" mass_density_g_cm3=6.7 raw_formation_energy_ev_per_atom=-0.523 dos_ef_per_ev_atom=0.97 pbc="T T T"
Pm -1.6762 1.1080 4.5813
Pm -3.8440 1.1080 11.3667
Pm 1.0546 3.3240 4.2347
Pm 3.1877 3.3240 1.4382
Pm -0.2347 3.3240 9.9084
Pm 1.5659 1.1080 7.2277
Pm 4.2968 3.3240 5.4137
Pm 6.0974 1.1080 2.7331
Pm 2.6750 1.1080 11.2033
Pm 4.8080 1.1080 8.4068
Pm 9.7067 3.3240 1.2748
Pm 7.5389 3.3240 8.0602
Si 3.1543 1.1080 3.6465
Si 2.7084 3.3240 8.9950
Sn 0.7884 1.1080 1.9226
Sn -0.7092 3.3240 6.7546
Sn -0.6361 1.1080 12.1590
Sn 6.4987 3.3240 0.4824
Sn 6.5719 1.1080 5.8869
Sn 5.0743 3.3240 10.7189

6
Lattice="0.0000 3.7285 3.7285 3.7285 0.0000 3.7285 3.7285 3.7285 0.0000" Properties=species:S:1:pos:R:3 comment="PBE-GGA BaCr4In, optimized geometry" formation_enthalpy_0k_kj_per_mol_atoms=92.3 space_group="F-43m (216)" mass_density_g_cm3=7.4 dos_ef_per_ev_atom=1.55 pbc="T T T"
Ba 0.0000 0.0000 0.0000
Cr 4.6936 2.7635 2.7635
Cr 2.7635 4.6936 2.7635
Cr 2.7635 2.7635 4.6936
Cr 4.6936 4.6936 4.6936
In 1.8643 1.8643 1.8643